Computed, not measured: crystalline VSi6Mo2 at its relaxed geometry at the PBE-GGA level of DFT.

Output
Formation energy (no corrections) ... -0.481 eV per atom
Magnetic moment ... 0.0 Bohr magnetons per cell

abc: 4.622 4.622 6.484
angles: 90.00 90.00 120.13
Positions (direct):
1 V 0.000 0.000 0.000
2 Si 0.172 0.333 0.329
3 Si 0.333 0.172 0.671
4 Si 0.339 0.661 0.000
5 Si 0.661 0.339 0.000
6 Si 0.667 0.828 0.671
7 Si 0.828 0.667 0.329
8 Mo 0.000 0.500 0.667
9 Mo 0.500 0.000 0.333